K3MnF: relaxed, PBE+U.

a = 5.612 Å, b = 5.612 Å, c = 5.612 Å
α = 90.00°, β = 90.00°, γ = 90.00°
Site moments in Bohr magnetons follow the coordinates.
Atoms (fractional coordinates):
K  0.000  0.500  0.000  0.01
K  0.000  0.000  0.500  0.01
K  0.500  0.000  0.000  0.01
Mn  0.500  0.500  0.500  4.77
F  0.000  0.000  0.000  0.01

Summary:
calculated volume	176.7	Å³/f.u.
total DFT energy (no corrections)	-3.21	eV/atom